[1]
First-principles (PBE-GGA) data for a relaxed structure of SrP2Ru, as listed in Alexandria.

The structure in CIF format:
```
data_SrP2Ru
_symmetry_space_group_name_H-M 'P 4/m m m'
_symmetry_Int_Tables_number 123
_symmetry_space_group_name_Hall '-P 4 2'
_cell_length_a 3.189
_cell_length_b 3.189
_cell_length_c 6.905
_cell_angle_alpha 90.00
_cell_angle_beta 90.00
_cell_angle_gamma 90.00
loop_
_atom_site_label
_atom_site_type_symbol
_atom_site_fract_x
_atom_site_fract_y
_atom_site_fract_z
Sr1 Sr 0.000 0.000 0.000
P1 P 0.500 0.500 0.315
Ru1 Ru 0.000 0.000 0.500
```

Values from the calculation:
DOS(E_F): 2.0 states/eV/cell
Magnetic moment: 0.17 μB per cell
V: 17.6 A^3/atom
Offset from the most stable computed form: 421 meV/atom
E_form: -26.0 kJ/mol of atoms
Total energy: -5.7139 eV per atom

---

[2]
First-principles (PBE-GGA) data for a relaxed structure of Ru2PbAu2, as listed in Alexandria.

The structure in CIF format:
```
data_Ru2PbAu2
_symmetry_space_group_name_H-M 'P 4/m b m'
_symmetry_Int_Tables_number 127
_symmetry_space_group_name_Hall '-P 4 2ab'
_cell_length_a 8.225
_cell_length_b 8.225
_cell_length_c 2.866
_cell_angle_alpha 90.00
_cell_angle_beta 90.00
_cell_angle_gamma 90.00
loop_
_atom_site_label
_atom_site_type_symbol
_atom_site_fract_x
_atom_site_fract_y
_atom_site_fract_z
Ru1 Ru 0.104 0.396 0.000
Pb1 Pb 0.000 0.000 0.500
Au1 Au 0.187 0.687 0.500
```

Values from the calculation:
DOS(E_F): 8.0 states/eV/cell
Magnetic moment: 4.74 μB per cell
V: 19.4 A^3/atom
Offset from the most stable computed form: 29 meV/atom
E_form: 54.1 kJ/mol of atoms
Total energy: -5.2025 eV per atom

---

[3]
First-principles (PBE-GGA) data for a relaxed structure of Yb3Nb, as listed in Alexandria.

The structure in CIF format:
```
data_Yb3Nb
_symmetry_space_group_name_H-M 'P 63/m m c'
_symmetry_Int_Tables_number 194
_symmetry_space_group_name_Hall '-P 6c 2c'
_cell_length_a 6.8539
_cell_length_b 6.8539
_cell_length_c 5.4075
_cell_angle_alpha 90.00
_cell_angle_beta 90.00
_cell_angle_gamma 120.00
loop_
_atom_site_label
_atom_site_type_symbol
_atom_site_fract_x
_atom_site_fract_y
_atom_site_fract_z
Yb1 Yb 0.1747 0.3493 0.2500
Nb1 Nb 0.3333 0.6667 0.7500
```

Values from the calculation:
DOS(E_F): 39.5 states/eV/cell
Magnetic moment: 2.67 μB per cell
V: 27.5 A^3/atom
Offset from the most stable computed form: 0 meV/atom
E_form: 31.0 kJ/mol of atoms
Total energy: -3.3405 eV per atom

---

[4]
First-principles (PBE-GGA) data for a relaxed structure of Si2AgCl, as listed in Alexandria.

The structure in CIF format:
```
data_Si2AgCl
_symmetry_space_group_name_H-M 'P 4/m m m'
_symmetry_Int_Tables_number 123
_symmetry_space_group_name_Hall '-P 4 2'
_cell_length_a 3.050
_cell_length_b 3.050
_cell_length_c 7.823
_cell_angle_alpha 90.00
_cell_angle_beta 90.00
_cell_angle_gamma 90.00
loop_
_atom_site_label
_atom_site_type_symbol
_atom_site_fract_x
_atom_site_fract_y
_atom_site_fract_z
Si1 Si 0.000 0.000 0.235
Ag1 Ag 0.500 0.500 0.000
Cl1 Cl 0.500 0.500 0.500
```

Values from the calculation:
DOS(E_F): 1.7 states/eV/cell
Magnetic moment: 0.00 μB per cell
V: 18.2 A^3/atom
Offset from the most stable computed form: 457 meV/atom
Total energy: -3.4049 eV per atom

---

Which of these has the highest V?
Yb3Nb